Record 1
VASP calculation (PBEsol) on a geometry-optimized Ho6FeSb2 structure. Values from VASP.

Cell and atoms, written as Quantum ESPRESSO input:
```
&SYSTEM
  ibrav = 0, nat = 9, ntyp = 3
/
ATOMIC_SPECIES
Ho 164.93 Ho.upf
Fe 55.84 Fe.upf
Sb 121.76 Sb.upf
ATOMIC_POSITIONS angstrom
Ho -4.042 2.103 4.157
Ho 0.578 0.441 1.732
Ho -1.809 0.199 -0.466
Ho -2.458 -0.800 2.757
Ho 1.128 -0.750 5.075
Ho -5.034 -1.375 -0.600
Fe -0.364 -1.890 0.603
Sb -0.933 1.545 4.281
Sb -4.340 1.199 1.142
CELL_PARAMETERS angstrom
-0.727 -3.780 1.206
2.475 1.890 7.419
-7.748 0.854 -1.996
```

Properties
Calculated total energy ... -52.98 eV per cell
SG ... No. 189
ΔE_f (raw) ... -577.5 meV per atom



Record 2
VASP calculation (PBEsol) on a geometry-optimized HoFe10Si2 structure. Values from VASP.

Cell and atoms, written as Quantum ESPRESSO input:
```
&SYSTEM
  ibrav = 0, nat = 13, ntyp = 3
/
ATOMIC_SPECIES
Ho 164.93 Ho.upf
Fe 55.84 Fe.upf
Si 28.09 Si.upf
ATOMIC_POSITIONS angstrom
Ho 0.000 0.000 0.000
Fe -4.021 -0.793 -3.672
Fe -6.213 -0.531 -3.159
Fe -4.604 -1.231 -0.930
Fe -4.479 1.043 -1.558
Fe -4.993 1.598 -4.039
Fe -5.241 -2.922 -2.792
Fe -2.954 -2.575 -2.253
Fe -2.378 -2.008 -0.081
Fe -2.739 1.346 -3.335
Fe -2.163 1.913 -1.163
Si -7.797 -0.978 -5.095
Si -2.437 -0.345 -1.736
CELL_PARAMETERS angstrom
-1.151 -1.135 -4.343
-4.757 -4.015 -0.162
-4.326 3.827 -2.326
```

Properties
Calculated total energy ... -109.56 eV per cell
SG ... No. 71
ΔE_f (raw) ... -267.9 meV per atom



Record 3
VASP calculation (PBEsol) on a geometry-optimized HoFe2Si2 structure. Values from VASP.

Cell and atoms, written as Quantum ESPRESSO input:
```
&SYSTEM
  ibrav = 0, nat = 5, ntyp = 3
/
ATOMIC_SPECIES
Si 28.09 Si.upf
Ho 164.93 Ho.upf
Fe 55.84 Fe.upf
ATOMIC_POSITIONS angstrom
Si 1.886 0.968 2.724
Si 0.735 -2.257 1.878
Ho 0.000 0.000 0.000
Fe 0.157 -0.421 3.021
Fe 2.465 -0.867 1.581
CELL_PARAMETERS angstrom
-2.256 -2.162 2.331
2.360 -3.054 -0.548
2.517 3.927 2.819
```

Properties
Calculated total energy ... -38.13 eV per cell
SG ... No. 139
ΔE_f (raw) ... -751.1 meV per atom



Record 4
VASP calculation (PBEsol) on a geometry-optimized InFeReI2 structure. Values from VASP.

Cell and atoms, written as Quantum ESPRESSO input:
```
&SYSTEM
  ibrav = 0, nat = 5, ntyp = 4
/
ATOMIC_SPECIES
I 126.90 I.upf
Re 186.21 Re.upf
Fe 55.84 Fe.upf
In 114.82 In.upf
ATOMIC_POSITIONS angstrom
I -2.332 0.518 1.723
I 1.443 -1.147 2.298
Re -0.973 -2.412 -0.592
Fe -1.863 -3.040 3.428
In 0.000 0.000 0.000
CELL_PARAMETERS angstrom
-1.946 -4.823 -1.185
2.885 -2.293 4.596
-4.665 1.036 3.445
```

Properties
Calculated total energy ... -18.36 eV per cell
SG ... No. 123
ΔE_f (raw) ... 2091.0 meV per atom



Record 5
VASP calculation (PBEsol) on a geometry-optimized In2FeTeI structure. Values from VASP.

Cell and atoms, written as Quantum ESPRESSO input:
```
&SYSTEM
  ibrav = 0, nat = 5, ntyp = 4
/
ATOMIC_SPECIES
I 126.90 I.upf
Te 127.60 Te.upf
Fe 55.84 Fe.upf
In 114.82 In.upf
ATOMIC_POSITIONS angstrom
I 3.196 -1.860 2.322
Te -0.164 -2.181 0.855
Fe 0.000 0.000 0.000
In 0.940 0.824 2.283
In 2.420 -0.502 -0.815
CELL_PARAMETERS angstrom
-0.329 -4.363 1.709
4.841 -1.004 -1.631
1.880 1.647 4.566
```

Properties
Calculated total energy ... -20.30 eV per cell
SG ... No. 123
ΔE_f (raw) ... -15.8 meV per atom



Record 6
VASP calculation (PBEsol) on a geometry-optimized LaFeIr2I structure. Values from VASP.

Cell and atoms, written as Quantum ESPRESSO input:
```
&SYSTEM
  ibrav = 0, nat = 5, ntyp = 4
/
ATOMIC_SPECIES
I 126.90 I.upf
Ir 192.22 Ir.upf
Fe 55.84 Fe.upf
La 138.91 La.upf
ATOMIC_POSITIONS angstrom
I 0.000 0.000 0.000
Ir -0.887 -2.302 -0.058
Ir 2.287 -0.873 -0.311
Fe -0.249 0.153 -2.262
La 1.150 -3.022 -2.631
CELL_PARAMETERS angstrom
-0.499 0.306 -4.523
4.573 -1.747 -0.623
-1.774 -4.604 -0.116
```

Properties
Calculated total energy ... -31.13 eV per cell
SG ... No. 123
ΔE_f (raw) ... 919.6 meV per atom



Record 7
VASP calculation (PBEsol) on a geometry-optimized Fe2IrPtI structure. Values from VASP.

Cell and atoms, written as Quantum ESPRESSO input:
```
&SYSTEM
  ibrav = 0, nat = 5, ntyp = 4
/
ATOMIC_SPECIES
I 126.90 I.upf
Ir 192.22 Ir.upf
Fe 55.84 Fe.upf
Pt 195.08 Pt.upf
ATOMIC_POSITIONS angstrom
I 0.000 0.000 0.000
Ir 0.000 0.000 2.390
Fe 0.000 2.249 0.000
Fe 2.249 0.000 0.000
Pt 2.249 2.249 2.390
CELL_PARAMETERS angstrom
4.498 0.000 0.000
0.000 4.498 0.000
0.000 0.000 4.779
```

Properties
Calculated total energy ... -27.32 eV per cell
SG ... No. 123
ΔE_f (raw) ... 1832.9 meV per atom



Record 8
VASP calculation (PBEsol) on a geometry-optimized FeTeIr2I structure. Values from VASP.

Cell and atoms, written as Quantum ESPRESSO input:
```
&SYSTEM
  ibrav = 0, nat = 5, ntyp = 4
/
ATOMIC_SPECIES
I 126.90 I.upf
Ir 192.22 Ir.upf
Te 127.60 Te.upf
Fe 55.84 Fe.upf
ATOMIC_POSITIONS angstrom
I 2.341 2.457 2.457
Ir 0.000 0.000 2.457
Ir 0.000 2.457 0.000
Te 0.000 0.000 0.000
Fe 2.341 0.000 0.000
CELL_PARAMETERS angstrom
4.681 0.000 0.000
0.000 4.913 0.000
0.000 0.000 4.913
```

Properties
Calculated total energy ... -25.87 eV per cell
SG ... No. 123
ΔE_f (raw) ... 1606.6 meV per atom



| no. | volume (Å³/f.u.) |
| --- | --- |
| 1 | 226.1 |
| 2 | 154.8 |
| 3 | 71.4 |
| 4 | 185.1 |
| 5 | 127.3 |
| 6 | 111.1 |
| 7 | 96.7 |
| 8 | 113.0 |